DFT (PBE-GGA) results for a geometry-optimized AlReMo4 structure.

Unit cell a=7.3059 b=7.3059 c=7.3059 alpha=90.00 beta=90.00 gamma=90.00
Space group F-43m (No. 216)
Inequivalent atoms, fractional coordinates:
Al: 0.0000 0.0000 0.0000 x4
Re: 0.2500 0.2500 0.2500 x4
Mo: 0.1258 0.1258 0.6258 x16



DFT (PBE-GGA) results for a geometry-optimized CeYErIn structure.

Unit cell a=7.6250 b=7.6250 c=7.6250 alpha=90.00 beta=90.00 gamma=90.00
Space group F-43m (No. 216)
Inequivalent atoms, fractional coordinates:
Ce: 0.0000 0.0000 0.0000 x4
Y: 0.2500 0.2500 0.7500 x4
Er: 0.2500 0.2500 0.2500 x4
In: 0.0000 0.0000 0.5000 x4



no.,spin magnetization (μB per atom),E_form (meV/atom)
1,0.00,287.2
2,0.10,-69.5